Entry 1:
{
  "formula": "BaRu2W",
  "functional": "PBE-GGA",
  "state": "optimized geometry",
  "density_g_cm3": 9.44,
  "e_form_kj_per_mol_fu": 279,
  "lattice_angstrom": [[3.290, 0.000, 0.000], [0.000, 4.169, 0.000], [-0.801, 0.000, 6.711]],
  "species": ["Ba", "Ru", "Ru", "W"],
  "fractional_positions": [[0.000, 0.000, 0.000], [0.554, 0.500, 0.282], [0.589, 0.000, 0.538], [0.120, 0.500, 0.551]]
}

---

Entry 2:
{
  "formula": "Ba2Ru2W",
  "functional": "PBE-GGA",
  "state": "optimized geometry",
  "density_g_cm3": 6.84,
  "e_form_kj_per_mol_fu": 779,
  "lattice_angstrom": [[5.882, 0.000, 0.000], [0.000, 5.882, 0.000], [0.000, 0.000, 4.636]],
  "species": ["Ba", "Ba", "Ru", "Ru", "W"],
  "fractional_positions": [[0.000, 0.500, 0.000], [0.500, 0.000, 0.000], [0.000, 0.000, 0.000], [0.000, 0.000, 0.500], [0.500, 0.500, 0.500]]
}

---

Entry 3:
{
  "formula": "Ba2RuW",
  "functional": "PBE-GGA",
  "state": "optimized geometry",
  "density_g_cm3": 8.99,
  "e_form_kj_per_mol_fu": 562,
  "lattice_angstrom": [[3.136, 0.000, 0.000], [0.000, 3.136, 0.000], [0.000, 0.000, 10.513]],
  "species": ["Ba", "Ba", "Ru", "W"],
  "fractional_positions": [[0.000, 0.000, 0.238], [0.000, 0.000, 0.762], [0.500, 0.500, 0.000], [0.500, 0.500, 0.500]]
}

---

Entry 4:
{
  "formula": "BaY3Ru",
  "functional": "PBE-GGA",
  "state": "optimized geometry",
  "density_g_cm3": 4.79,
  "e_form_kj_per_mol_fu": 83,
  "lattice_angstrom": [[3.742, 0.000, 0.000], [0.000, 3.305, 7.078], [0.000, -3.305, 7.078]],
  "species": ["Ba", "Y", "Y", "Y", "Ru"],
  "fractional_positions": [[0.000, 0.000, 0.000], [0.000, 0.497, 0.977], [0.000, 0.977, 0.497], [0.500, 0.410, 0.410], [0.500, 0.833, 0.833]]
}

---

Entry 5:
{
  "formula": "BaY3Ru",
  "functional": "PBE-GGA",
  "state": "optimized geometry",
  "density_g_cm3": 4.98,
  "e_form_kj_per_mol_fu": -60,
  "lattice_angstrom": [[8.371, -1.991, 0.000], [8.371, 1.991, 0.000], [-7.696, 0.000, 10.113]],
  "species": ["Ba", "Ba", "Y", "Y", "Y", "Y", "Y", "Y", "Ru", "Ru"],
  "fractional_positions": [[0.000, 0.000, 0.000], [0.654, 0.654, 0.853], [0.025, 0.025, 0.490], [0.164, 0.164, 0.372], [0.280, 0.280, 0.725], [0.426, 0.426, 0.207], [0.762, 0.762, 0.235], [0.875, 0.875, 0.588], [0.368, 0.368, 0.413], [0.681, 0.681, 0.542]]
}

---

Entry 6:
{
  "formula": "BaY3Ru",
  "functional": "PBE-GGA",
  "state": "optimized geometry",
  "density_g_cm3": 4.86,
  "e_form_kj_per_mol_fu": -39,
  "lattice_angstrom": [[11.668, -2.792, 0.000], [11.668, 2.792, 0.000], [-1.270, 0.000, 5.300]],
  "species": ["Ba", "Ba", "Y", "Y", "Y", "Y", "Y", "Y", "Ru", "Ru"],
  "fractional_positions": [[0.075, 0.075, 0.325], [0.925, 0.925, 0.675], [0.197, 0.197, 0.946], [0.307, 0.307, 0.557], [0.436, 0.436, 0.186], [0.564, 0.564, 0.814], [0.693, 0.693, 0.443], [0.803, 0.803, 0.054], [0.322, 0.322, 0.072], [0.678, 0.678, 0.928]]
}

---

Entry 7:
{
  "formula": "BaY3Ru",
  "functional": "PBE-GGA",
  "state": "optimized geometry",
  "density_g_cm3": 4.95,
  "e_form_kj_per_mol_fu": -5,
  "lattice_angstrom": [[9.076, 0.000, 0.000], [0.000, 7.986, 0.000], [-4.055, 0.000, 9.346]],
  "species": ["Ba", "Ba", "Ba", "Ba", "Y", "Y", "Y", "Y", "Y", "Y", "Y", "Y", "Y", "Y", "Y", "Y", "Ru", "Ru", "Ru", "Ru"],
  "fractional_positions": [[0.133, 0.180, 0.088], [0.133, 0.320, 0.588], [0.867, 0.680, 0.412], [0.867, 0.820, 0.912], [0.180, 0.631, 0.256], [0.180, 0.869, 0.756], [0.303, 0.511, 0.962], [0.303, 0.989, 0.462], [0.468, 0.611, 0.643], [0.468, 0.889, 0.143], [0.532, 0.111, 0.857], [0.532, 0.389, 0.357], [0.697, 0.011, 0.538], [0.697, 0.489, 0.038], [0.820, 0.131, 0.244], [0.820, 0.369, 0.744], [0.483, 0.747, 0.397], [0.483, 0.753, 0.897], [0.517, 0.247, 0.103], [0.517, 0.253, 0.603]]
}

---

Entry 8:
{
  "formula": "BaY3Ru",
  "functional": "PBE-GGA",
  "state": "optimized geometry",
  "density_g_cm3": 4.83,
  "e_form_kj_per_mol_fu": -64,
  "lattice_angstrom": [[9.050, 0.000, 0.000], [0.000, 4.015, 0.000], [-1.830, 0.000, 9.566]],
  "species": ["Ba", "Ba", "Y", "Y", "Y", "Y", "Y", "Y", "Ru", "Ru"],
  "fractional_positions": [[0.221, 0.250, 0.046], [0.779, 0.750, 0.954], [0.039, 0.750, 0.363], [0.297, 0.750, 0.708], [0.408, 0.750, 0.374], [0.592, 0.250, 0.626], [0.703, 0.250, 0.292], [0.961, 0.250, 0.637], [0.250, 0.250, 0.513], [0.750, 0.750, 0.487]]
}

---

no.,D(E_F) (states/eV/atom)
1,0.83
2,0.93
3,1.20
4,2.05
5,0.88
6,1.78
7,1.26
8,1.08